No. 1
VASP calculation (GGA-PBE) on a relaxed structure of CaPuAs2Pd5.

Output
As for the symmetry: P4/mmm. Its total energy is -57.231 eV for the cell shown. As for the volume: 165.6 Å³ per cell. The formation enthalpy at 0 K comes out at -0.626 eV/atom.

Cell and atoms, written as POSCAR:
```
CaPuAs2Pd5
1.0
4.252 0.000 0.000
0.000 4.252 0.000
0.000 0.000 9.161
Ca Pu As Pd
1 1 2 5
Direct
0.000 0.000 0.000
0.000 0.000 0.500
0.500 0.500 0.364
0.500 0.500 0.636
0.000 0.500 0.224
0.000 0.500 0.776
0.500 0.000 0.224
0.500 0.000 0.776
0.500 0.500 0.000
```


No. 2
VASP calculation (GGA-PBE) on a relaxed structure of RbCaAs2Pd4.

Output
As for the symmetry: P4/mmm. Its total energy is -36.830 eV for the cell shown. As for the volume: 195.4 Å³ per cell. The formation enthalpy at 0 K comes out at -0.474 eV/atom.

Cell and atoms, written as POSCAR:
```
RbCaAs2Pd4
1.0
4.200 0.000 0.000
0.000 4.200 0.000
0.000 0.000 11.077
Rb Ca As Pd
1 1 2 4
Direct
0.000 0.000 0.000
0.000 0.000 0.500
0.500 0.500 0.195
0.500 0.500 0.805
0.000 0.500 0.304
0.000 0.500 0.696
0.500 0.000 0.304
0.500 0.000 0.696
```


No. 3
VASP calculation (GGA-PBE) on a relaxed structure of Ca2As3PdRh4.

Output
As for the symmetry: P-4m2. Its total energy is -59.434 eV for the cell shown. As for the volume: 182.6 Å³ per cell. The formation enthalpy at 0 K comes out at -0.688 eV/atom.

Cell and atoms, written as POSCAR:
```
Ca2As3PdRh4
1.0
4.183 0.000 0.000
0.000 4.183 0.000
0.000 0.000 10.438
Ca As Pd Rh
2 3 1 4
Direct
0.000 0.500 0.242
0.500 0.000 0.758
0.000 0.000 0.000
0.000 0.500 0.631
0.500 0.000 0.369
0.500 0.500 0.000
0.000 0.000 0.500
0.000 0.500 0.857
0.500 0.000 0.143
0.500 0.500 0.500
```


No. 4
VASP calculation (GGA-PBE) on a relaxed structure of Ca2As3Pd4Rh.

Output
As for the symmetry: P-4m2. Its total energy is -52.178 eV for the cell shown. As for the volume: 189.6 Å³ per cell. The formation enthalpy at 0 K comes out at -0.610 eV/atom.

Cell and atoms, written as POSCAR:
```
Ca2As3Pd4Rh
1.0
4.139 0.000 0.000
0.000 4.139 0.000
0.000 0.000 11.068
Ca As Pd Rh
2 3 4 1
Direct
0.000 0.500 0.246
0.500 0.000 0.754
0.000 0.000 0.000
0.000 0.500 0.633
0.500 0.000 0.367
0.000 0.000 0.500
0.000 0.500 0.849
0.500 0.000 0.151
0.500 0.500 0.500
0.500 0.500 0.000
```


No. 5
VASP calculation (GGA-PBE) on a relaxed structure of Ca3As4Pd2Rh2.

Output
As for the symmetry: P-3m1. Its total energy is -58.934 eV for the cell shown. As for the volume: 231.3 Å³ per cell. The formation enthalpy at 0 K comes out at -0.840 eV/atom.

Cell and atoms, written as POSCAR:
```
Ca3As4Pd2Rh2
1.0
4.196 0.000 0.000
-2.098 3.634 0.000
0.000 0.000 15.171
Ca As Pd Rh
3 4 2 2
Direct
0.000 0.000 0.000
0.000 0.000 0.276
0.000 0.000 0.724
0.333 0.667 0.402
0.333 0.667 0.863
0.667 0.333 0.137
0.667 0.333 0.598
0.333 0.667 0.141
0.667 0.333 0.859
0.333 0.667 0.561
0.667 0.333 0.439
```


No. 6
VASP calculation (GGA-PBE) on a relaxed structure of CaAsPdRh.

Output
As for the symmetry: Amm2. Its total energy is -21.333 eV for the cell shown. As for the volume: 81.0 Å³ per cell. The formation enthalpy at 0 K comes out at -0.534 eV/atom.

Cell and atoms, written as POSCAR:
```
CaAsPdRh
1.0
4.274 0.000 0.000
0.000 2.002 4.735
0.000 -2.002 4.735
Ca As Pd Rh
1 1 1 1
Direct
0.000 0.000 0.000
0.500 0.609 0.609
0.500 0.272 0.272
0.000 0.719 0.719
```


No. 7
VASP calculation (GGA-PBE) on a relaxed structure of CaAsPd2Ru.

Output
As for the symmetry: P4/mmm. Its total energy is -19.456 eV for the cell shown. As for the volume: 119.5 Å³ per cell. The formation enthalpy at 0 K comes out at 1.371 eV/atom.

Cell and atoms, written as POSCAR:
```
CaAsPd2Ru
1.0
4.775 0.000 0.000
0.000 4.775 0.000
0.000 0.000 5.241
Ca As Pd Ru
1 1 2 1
Direct
0.000 0.000 0.000
0.000 0.000 0.500
0.000 0.500 0.000
0.500 0.000 0.000
0.500 0.500 0.500
```


No. 8
VASP calculation (GGA-PBE) on a relaxed structure of Ca2AsPdRu.

Output
As for the symmetry: P4/mmm. Its total energy is -23.038 eV for the cell shown. As for the volume: 135.1 Å³ per cell. The formation enthalpy at 0 K comes out at 0.017 eV/atom.

Cell and atoms, written as POSCAR:
```
Ca2AsPdRu
1.0
5.487 0.000 0.000
0.000 5.487 0.000
0.000 0.000 4.488
Ca As Pd Ru
2 1 1 1
Direct
0.000 0.500 0.000
0.500 0.000 0.000
0.000 0.000 0.000
0.500 0.500 0.500
0.000 0.000 0.500
```


| no. | DOS(E_F) (states/eV per cell) |
| --- | --- |
| 1 | 15.082 |
| 2 | 3.837 |
| 3 | 7.500 |
| 4 | 7.382 |
| 5 | 8.450 |
| 6 | 1.031 |
| 7 | 6.968 |
| 8 | 3.435 |